Record 1
First-principles (GGA-PBE) data for an optimized crystal structure of ThGaAu3, as listed in Alexandria via LeMat-Bulk.

a = 5.213 Å, b = 5.213 Å, c = 5.002 Å
α = 61.59°, β = 61.59°, γ = 78.00°
Fractional coordinates of all 5 atoms:
Ga: 0.300 0.300 0.596
Au: 0.879 0.297 0.312
Au: 0.297 0.879 0.312
Th: 0.614 0.614 0.786
Au: 0.911 0.911 0.990

Energy relative to the elements ... -0.552 eV per atom
DFT total energy ... -4.607 eV per atom
Distance to the lowest polymorph of the same formula ... 0.0000 eV per atom



Record 2
First-principles (GGA-PBE) data for an optimized crystal structure of TmNiSnRu, as listed in Alexandria via LeMat-Bulk.

a = 4.608 Å, b = 4.608 Å, c = 4.608 Å
α = 60.00°, β = 60.00°, γ = 60.00°
Fractional coordinates of all 4 atoms:
Ni: 0.250 0.250 0.250
Sn: 0.500 0.500 0.500
Tm: 0.000 0.000 0.000
Ru: 0.750 0.750 0.750

Energy relative to the elements ... -0.412 eV per atom
DFT total energy ... -6.295 eV per atom



Record 3
First-principles (GGA-PBE) data for an optimized crystal structure of Tb3Er3Sc5, as listed in Alexandria via LeMat-Bulk.

a = 5.349 Å, b = 9.036 Å, c = 9.036 Å
α = 120.00°, β = 90.00°, γ = 90.00°
Fractional coordinates of all 11 atoms:
Sc: 0.500 0.242 0.242
Tb: 0.500 0.620 0.620
Sc: 0.500 0.000 0.758
Er: 0.000 0.397 0.397
Er: 0.000 0.603 0.000
Sc: 0.500 0.667 0.333
Tb: 0.500 0.000 0.380
Er: 0.000 0.000 0.603
Sc: 0.500 0.758 0.000
Sc: 0.500 0.333 0.667
Tb: 0.500 0.380 0.000

Energy relative to the elements ... 0.833 eV per atom
DFT total energy ... -4.552 eV per atom



Record 4
First-principles (GGA-PBE) data for an optimized crystal structure of KSi, as listed in Alexandria via LeMat-Bulk.

a = 9.771 Å, b = 7.403 Å, c = 8.960 Å
α = 90.00°, β = 90.00°, γ = 90.00°
Fractional coordinates of all 16 atoms:
K: 0.843 0.250 0.246
K: 0.661 0.750 0.258
K: 0.339 0.250 0.742
Si: 0.098 0.405 0.999
Si: 0.402 0.905 0.499
Si: 0.902 0.905 0.001
K: 0.839 0.250 0.758
Si: 0.598 0.095 0.501
K: 0.157 0.750 0.754
Si: 0.598 0.405 0.501
Si: 0.902 0.595 0.001
K: 0.343 0.250 0.254
Si: 0.098 0.095 0.999
Si: 0.402 0.595 0.499
K: 0.161 0.750 0.242
K: 0.657 0.750 0.746

DFT total energy ... -3.181 eV per atom
Distance to the lowest polymorph of the same formula ... 0.1519 eV per atom
Energy relative to the elements, uncorrected ... 0.079 eV/atom



Record 5
First-principles (GGA-PBE) data for an optimized crystal structure of Ce5Cr2N12, as listed in Alexandria via LeMat-Bulk.

a = 5.715 Å, b = 6.936 Å, c = 7.587 Å
α = 106.09°, β = 90.00°, γ = 114.33°
Site moments in Bohr magnetons follow the coordinates.
Fractional coordinates of all 19 atoms:
N: 0.595 0.686 0.420  0.04
N: 0.498 0.996 0.824  0.05
N: 0.405 0.314 0.580  0.04
N: 0.087 0.694 0.927  0.17
N: 0.913 0.306 0.073  0.17
N: 0.998 0.996 0.824  0.53
Cr: 0.253 0.000 0.000  -0.33
Ce: 0.683 0.365 0.830  0.04
Cr: 0.747 0.000 0.000  -0.33
Ce: 0.689 0.379 0.353  0.03
N: 0.606 0.694 0.927  0.17
N: 0.502 0.004 0.176  0.05
N: 0.091 0.686 0.420  0.04
Ce: 0.000 0.000 0.500  0.02
N: 0.394 0.306 0.073  0.17
N: 0.002 0.004 0.176  0.53
N: 0.909 0.314 0.580  0.04
Ce: 0.311 0.621 0.647  0.03
Ce: 0.317 0.635 0.170  0.04

DFT total energy ... -8.411 eV per atom
Energy relative to the elements, uncorrected ... -0.579 eV/atom



Record 6
First-principles (GGA-PBE) data for an optimized crystal structure of TbYGeIr, as listed in Alexandria via LeMat-Bulk.

a = 4.118 Å, b = 4.122 Å, c = 5.704 Å
α = 90.00°, β = 111.16°, γ = 90.00°
Fractional coordinates of all 4 atoms:
Y: 0.862 0.500 0.724
Tb: 0.143 0.000 0.286
Ir: 0.421 0.000 0.843
Ge: 0.574 0.500 0.147

Energy relative to the elements ... -0.851 eV per atom
DFT total energy ... -6.994 eV per atom
Distance to the lowest polymorph of the same formula ... 0.0000 eV per atom